No. 1
A geometry-optimized RbN2 structure, computed with GGA-PBE.

## Properties
- E above lowest polymorph (meV per atom) = 0

Geometry as POSCAR:
```
RbN2
1.0
4.665 0.000 0.000
-0.517 4.666 0.000
-0.045 -0.051 6.232
Rb N
2 4
Cartesian
1.011 1.133 1.558
3.091 3.482 4.674
0.581 1.545 4.675
1.459 0.761 4.674
2.643 3.854 1.558
3.522 3.071 1.557
```



No. 2
A geometry-optimized RbN2 structure, computed with GGA-PBE.

## Properties
- E above lowest polymorph (meV per atom) = 2284

Geometry as POSCAR:
```
RbN2
1.0
-1.415 1.415 5.049
1.415 -1.415 5.049
1.415 1.415 -5.049
Rb N
1 2
Cartesian
0.000 0.000 0.000
0.000 0.000 2.770
0.000 0.000 7.329
```



No. 3
A geometry-optimized RbN6 structure, computed with GGA-PBE.

## Properties
- E above lowest polymorph (meV per atom) = 60

Geometry as POSCAR:
```
RbN6
1.0
5.878 0.000 0.000
0.000 5.878 0.000
0.000 0.000 4.773
Rb N
1 6
Cartesian
0.000 0.000 0.000
0.000 2.939 1.817
0.000 2.939 2.956
2.939 0.000 1.817
2.939 0.000 2.956
2.939 2.939 1.823
2.939 2.939 2.950
```



no.,E_form (uncorrected) (eV/f.u.),total magnetic moment (μB per atom)
1,-0.41,0.000
2,6.44,0.000
3,0.01,0.000